[1]
VASP calculation (PBE-GGA) on an optimized crystal structure of LiSc2Cl.

```
LiSc2Cl
1.0
-2.9306 1.4564 0.0480
-0.9138 -1.7529 -2.6085
-2.6203 -5.4230 4.5621
Sc Li Cl
2 1 1
Direct
0.0000 0.0000 0.5155
0.0000 0.0000 0.9845
0.5000 0.5000 0.7500
0.5000 0.5000 0.2500
```

Computed properties:
- Magnetic moment: 0.11 μB/atom
- E above lowest polymorph: 31.9 kJ per mole of atoms
- DOS at the Fermi energy: 4.2 states/eV/cell

[2]
VASP calculation (PBE-GGA) on an optimized crystal structure of LiScCl2.

```
LiScCl2
1.0
-4.6709 0.4877 -1.4974
-1.2433 -1.1840 -4.6205
-2.7415 -4.0040 -0.8656
Cl Li Sc
2 1 1
Direct
0.2500 0.2500 0.2500
0.0000 0.0000 0.0000
0.5000 0.5000 0.5000
0.7500 0.7500 0.7500
```

Computed properties:
- Magnetic moment: 0.47 μB/atom
- E above lowest polymorph: 92.5 kJ per mole of atoms
- DOS at the Fermi energy: 5.0 states/eV/cell

[3]
VASP calculation (PBE-GGA) on an optimized crystal structure of Li4ScCl.

```
Li4ScCl
1.0
3.1764 -4.5229 -1.3514
0.2410 -4.4619 3.5222
-2.4999 -4.9028 -1.4443
Sc Cl Li
1 1 4
Direct
0.7500 0.7500 0.7500
0.0000 0.0000 0.0000
0.3754 0.8738 0.3754
0.3754 0.3754 0.8738
0.3754 0.3754 0.3754
0.8738 0.3754 0.3754
```

Computed properties:
- Magnetic moment: 0.08 μB/atom
- Total DFT energy (no corrections): -2.5787 eV per atom
- DOS at the Fermi energy: 4.5 states/eV/cell

[4]
VASP calculation (PBE-GGA) on an optimized crystal structure of Li2Sc2Cl7.

```
Li2Sc2Cl7
1.0
6.6511 0.2588 0.3734
-0.4640 7.1354 -0.3172
-0.4640 -2.8027 6.5696
Cl Li Sc
7 2 2
Direct
0.2868 0.5663 0.9263
0.7132 0.0737 0.4337
0.7557 0.6058 0.6058
0.0000 0.0000 0.0000
0.2868 0.9263 0.5663
0.7132 0.4337 0.0737
0.2443 0.3942 0.3942
0.5000 0.2639 0.7361
0.5000 0.7361 0.2639
0.8829 0.3025 0.3025
0.1171 0.6975 0.6975
```

Computed properties:
- Magnetic moment: 0.09 μB/atom
- Total DFT energy (no corrections): -4.5367 eV per atom
- DOS at the Fermi energy: 0.9 states/eV/cell

[5]
VASP calculation (PBE-GGA) on an optimized crystal structure of LiScCl2.

```
LiScCl2
1.0
-6.3548 1.4058 6.0412
-3.6762 0.4786 8.0692
-3.9796 3.7763 6.9827
Li Cl Sc
1 2 1
Direct
0.0000 0.0000 0.0000
0.1031 0.1031 0.1031
0.8969 0.8969 0.8969
0.5000 0.5000 0.5000
```

Computed properties:
- Magnetic moment: 0.00 μB/atom
- E above lowest polymorph: 11.8 kJ per mole of atoms
- DOS at the Fermi energy: 2.9 states/eV/cell

[6]
VASP calculation (PBE-GGA) on an optimized crystal structure of LiSc2Cl.

```
LiSc2Cl
1.0
-3.5243 4.0242 1.5198
-3.5407 1.5032 -4.0160
1.5514 -4.8617 2.2094
Sc Li Cl
2 1 1
Direct
0.0000 0.0000 0.0000
0.5000 0.5000 0.0000
0.7500 0.2500 0.5000
0.2500 0.7500 0.5000
```

Computed properties:
- Magnetic moment: 0.35 μB/atom
- E above lowest polymorph: 46.1 kJ per mole of atoms
- DOS at the Fermi energy: 3.6 states/eV/cell

[7]
VASP calculation (PBE-GGA) on an optimized crystal structure of LiScCl2.

```
LiScCl2
1.0
3.4008 0.0000 0.0000
0.0000 3.4008 0.0000
0.0000 0.0000 6.9959
Cl Sc Li
2 1 1
Direct
0.0000 0.0000 0.9792
0.5000 0.5000 0.3917
0.5000 0.5000 0.7639
0.0000 0.0000 0.3652
```

Computed properties:
- Magnetic moment: 0.41 μB/atom
- E above lowest polymorph: 9.7 kJ per mole of atoms
- DOS at the Fermi energy: 1.9 states/eV/cell

[8]
VASP calculation (PBE-GGA) on an optimized crystal structure of LiSc2Cl.

```
LiSc2Cl
1.0
5.9214 0.0095 -0.0063
2.7768 5.2300 0.0063
-3.6168 -3.8355 2.6965
Cl Li Sc
1 1 2
Direct
0.5008 0.5008 0.0000
0.2941 0.7941 0.5000
0.9884 0.9884 0.0000
0.7167 0.2167 0.5000
```

Computed properties:
- Magnetic moment: 0.09 μB/atom
- E above lowest polymorph: 24.9 kJ per mole of atoms
- DOS at the Fermi energy: 5.0 states/eV/cell

[9]
VASP calculation (PBE-GGA) on an optimized crystal structure of Li3ScCl6.

```
Li3ScCl6
1.0
0.0000 4.9587 4.9587
4.9587 0.0000 4.9587
4.9587 4.9587 0.0000
Li Sc Cl
3 1 6
Direct
0.2500 0.2500 0.2500
0.5000 0.5000 0.5000
0.7500 0.7500 0.7500
0.0000 0.0000 0.0000
0.7510 0.2490 0.2490
0.2490 0.7510 0.2490
0.7510 0.2490 0.7510
0.2490 0.7510 0.7510
0.7510 0.7510 0.2490
0.2490 0.2490 0.7510
```

Computed properties:
- Magnetic moment: 0.00 μB/atom
- E above lowest polymorph: 22.1 kJ per mole of atoms
- DOS at the Fermi energy: 0.0 states/eV/cell

[10]
VASP calculation (PBE-GGA) on an optimized crystal structure of LiSc2Cl.

```
LiSc2Cl
1.0
-0.7584 -3.1316 0.4472
2.9544 0.6942 -1.1711
3.3609 0.4334 8.7354
Li Sc Cl
1 2 1
Direct
0.5000 0.5000 0.7500
0.0000 0.0000 0.0231
0.0000 0.0000 0.4769
0.5000 0.5000 0.2500
```

Computed properties:
- Magnetic moment: 0.20 μB/atom
- E above lowest polymorph: 22.5 kJ per mole of atoms
- DOS at the Fermi energy: 5.0 states/eV/cell

[11]
VASP calculation (PBE-GGA) on an optimized crystal structure of LiScCl2.

```
LiScCl2
1.0
-4.0368 -2.1903 2.3739
0.7774 -3.0978 -1.5362
3.0526 -2.6245 2.7694
Cl Sc Li
2 1 1
Direct
0.5000 0.1792 0.2696
0.0000 0.8779 0.8685
0.5000 0.8972 0.8323
0.0000 0.5457 0.5297
```

Computed properties:
- Magnetic moment: 0.00 μB/atom
- E above lowest polymorph: 15.3 kJ per mole of atoms
- DOS at the Fermi energy: 2.4 states/eV/cell

[12]
VASP calculation (PBE-GGA) on an optimized crystal structure of LiSc2Cl.

```
LiSc2Cl
1.0
-0.5995 1.4080 5.6708
-3.4454 -3.6258 -2.3937
0.9873 -2.8702 1.0415
Cl Sc Li
1 2 1
Direct
0.0000 0.5000 0.5000
0.5000 0.0000 0.5000
0.0000 0.0000 0.0000
0.5000 0.5000 0.0000
```

Computed properties:
- Magnetic moment: 0.12 μB/atom
- E above lowest polymorph: 35.8 kJ per mole of atoms
- DOS at the Fermi energy: 5.1 states/eV/cell